A plane-wave DFT calculation with PBE-GGA was carried out for an optimized crystal structure of LiGe4Ir.

The structure in CIF format:
```
data_LiGe4Ir
_cell_length_a 6.1137
_cell_length_b 6.3099
_cell_length_c 6.4574
_cell_angle_alpha 84.59
_cell_angle_beta 87.07
_cell_angle_gamma 62.83
_space_group_name_H-M_alt 'P -1'
_space_group_IT_number 2
loop_
_space_group_symop_operation_xyz
'x,y,z'
'-x,-y,-z'
loop_
_atom_site_label
_atom_site_fract_x
_atom_site_fract_y
_atom_site_fract_z
_atom_site_occupancy
Li1 0.0254 0.1587 0.3080 1
Ge1 0.1487 0.3561 0.6480 1
Ge2 0.2801 0.6704 0.0523 1
Ge3 0.3618 0.7017 0.4257 1
Ge4 0.4232 0.1697 0.1284 1
Ir1 0.0000 0.5000 0.0000 1
Ir2 0.5000 0.0000 0.5000 1
```

=====

A plane-wave DFT calculation with PBE-GGA was carried out for an optimized crystal structure of LiGeIr.

The structure in CIF format:
```
data_LiGeIr
_cell_length_a 7.0045
_cell_length_b 7.0045
_cell_length_c 2.8703
_cell_angle_alpha 90.00
_cell_angle_beta 90.00
_cell_angle_gamma 120.00
_space_group_name_H-M_alt 'P -6 2 m'
_space_group_IT_number 189
_space_group_name_Hall 'P -6 -2'
loop_
_atom_site_label
_atom_site_fract_x
_atom_site_fract_y
_atom_site_fract_z
_atom_site_occupancy
Li1 0.0000 0.7079 0.0000 1
Ge1 0.0000 0.0000 0.5000 1
Ge2 0.3333 0.6667 0.0000 1
Ir1 0.0000 0.3739 0.5000 1
```

=====

A plane-wave DFT calculation with PBE-GGA was carried out for an optimized crystal structure of LiGe2Ir4.

The structure in CIF format:
```
data_LiGe2Ir4
_cell_length_a 4.1370
_cell_length_b 4.1370
_cell_length_c 12.4892
_cell_angle_alpha 90.00
_cell_angle_beta 90.00
_cell_angle_gamma 90.00
_space_group_name_H-M_alt 'I 4/m m m'
_space_group_IT_number 139
_space_group_name_Hall '-I 4 2'
loop_
_atom_site_label
_atom_site_fract_x
_atom_site_fract_y
_atom_site_fract_z
_atom_site_occupancy
Li1 0.0000 0.0000 0.0000 1
Ge1 0.0000 0.0000 0.3714 1
Ir1 0.0000 0.0000 0.1828 1
Ir2 0.0000 0.5000 0.0000 1
```

=====

A plane-wave DFT calculation with PBE-GGA was carried out for an optimized crystal structure of LiGeIr.

The structure in CIF format:
```
data_LiGeIr
_cell_length_a 4.1988
_cell_length_b 4.1988
_cell_length_c 2.9333
_cell_angle_alpha 90.00
_cell_angle_beta 90.00
_cell_angle_gamma 120.00
_space_group_name_H-M_alt 'P -6 m 2'
_space_group_IT_number 187
_space_group_name_Hall 'P -6 2'
loop_
_atom_site_label
_atom_site_fract_x
_atom_site_fract_y
_atom_site_fract_z
_atom_site_occupancy
Li1 0.0000 0.0000 0.0000 1
Ge1 0.6667 0.3333 0.5000 1
Ir1 0.3333 0.6667 0.5000 1
```

=====

A plane-wave DFT calculation with PBE-GGA was carried out for an optimized crystal structure of Li6Ge2Ir.

The structure in CIF format:
```
data_Li6Ge2Ir
_cell_length_a 4.3669
_cell_length_b 4.3669
_cell_length_c 26.6223
_cell_angle_alpha 90.00
_cell_angle_beta 90.00
_cell_angle_gamma 120.00
_space_group_name_H-M_alt 'R -3 m'
_space_group_IT_number 166
_space_group_name_Hall '-R 3 2"'
loop_
_atom_site_label
_atom_site_fract_x
_atom_site_fract_y
_atom_site_fract_z
_atom_site_occupancy
Li1 0.0000 0.0000 0.1047 1
Li2 0.0000 0.0000 0.2014 1
Li3 0.0000 0.0000 0.3081 1
Ge1 0.0000 0.0000 0.4092 1
Ir1 0.0000 0.0000 0.5000 1
```

=====

A plane-wave DFT calculation with PBE-GGA was carried out for an optimized crystal structure of Li2Ge3Ir2.

The structure in CIF format:
```
data_Li2Ge3Ir2
_cell_length_a 9.4496
_cell_length_b 3.9102
_cell_length_c 6.8646
_cell_angle_alpha 90.00
_cell_angle_beta 113.11
_cell_angle_gamma 90.00
_space_group_name_H-M_alt 'C 1 2/m 1'
_space_group_IT_number 12
loop_
_space_group_symop_operation_xyz
'x,y,z'
'-x,-y,-z'
'-x,y,-z'
'x,-y,z'
'x+1/2,y+1/2,z'
'-x+1/2,-y+1/2,-z'
'-x+1/2,y+1/2,-z'
'x+1/2,-y+1/2,z'
loop_
_atom_site_label
_atom_site_fract_x
_atom_site_fract_y
_atom_site_fract_z
_atom_site_occupancy
Li1 0.1700 0.0000 0.3103 1
Ge1 0.0000 0.5000 0.5000 1
Ge2 0.1302 0.5000 0.9688 1
Ir1 0.1195 0.0000 0.7154 1
```

=====

A plane-wave DFT calculation with PBE-GGA was carried out for an optimized crystal structure of LiGeIr.

The structure in CIF format:
```
data_LiGeIr
_cell_length_a 4.0821
_cell_length_b 4.0821
_cell_length_c 6.1498
_cell_angle_alpha 90.00
_cell_angle_beta 90.00
_cell_angle_gamma 90.00
_space_group_name_H-M_alt 'P 4/n m m'
_space_group_IT_number 129
loop_
_space_group_symop_operation_xyz
'x,y,z'
'-x,-y,-z'
'-y+1/2,x,z'
'y+1/2,-x,-z'
'-x+1/2,-y+1/2,z'
'x+1/2,y+1/2,-z'
'y,-x+1/2,z'
'-y,x+1/2,-z'
'x+1/2,-y,-z'
'-x+1/2,y,z'
'-y,-x,-z'
'y,x,z'
'-x,y+1/2,-z'
'x,-y+1/2,z'
'y+1/2,x+1/2,-z'
'-y+1/2,-x+1/2,z'
loop_
_atom_site_label
_atom_site_fract_x
_atom_site_fract_y
_atom_site_fract_z
_atom_site_occupancy
Li1 0.2500 0.2500 0.1788 1
Ge1 0.2500 0.2500 0.7329 1
Ir1 0.2500 0.7500 0.5000 1
```

=====

A plane-wave DFT calculation with PBE-GGA was carried out for an optimized crystal structure of LiGeIr2.

The structure in CIF format:
```
data_LiGeIr2
_cell_length_a 4.1888
_cell_length_b 4.1888
_cell_length_c 3.0240
_cell_angle_alpha 90.00
_cell_angle_beta 90.00
_cell_angle_gamma 90.00
_space_group_name_H-M_alt 'P 4/m m m'
_space_group_IT_number 123
_space_group_name_Hall '-P 4 2'
loop_
_atom_site_label
_atom_site_fract_x
_atom_site_fract_y
_atom_site_fract_z
_atom_site_occupancy
Li1 0.0000 0.0000 0.0000 1
Ge1 0.5000 0.5000 0.0000 1
Ir1 0.0000 0.5000 0.5000 1
```

=====

A plane-wave DFT calculation with PBE-GGA was carried out for an optimized crystal structure of LiGeMoIr.

The structure in CIF format:
```
data_LiGeMoIr
_cell_length_a 6.1037
_cell_length_b 6.1037
_cell_length_c 6.1037
_cell_angle_alpha 90.00
_cell_angle_beta 90.00
_cell_angle_gamma 90.00
_space_group_name_H-M_alt 'F -4 3 m'
_space_group_IT_number 216
_space_group_name_Hall 'F -4 2 3'
loop_
_atom_site_label
_atom_site_fract_x
_atom_site_fract_y
_atom_site_fract_z
_atom_site_occupancy
Li1 0.0000 0.0000 0.0000 1
Ge1 0.2500 0.2500 0.7500 1
Mo1 0.2500 0.2500 0.2500 1
Ir1 0.0000 0.0000 0.5000 1
```

=====

A plane-wave DFT calculation with PBE-GGA was carried out for an optimized crystal structure of LiNdGeIr.

The structure in CIF format:
```
data_LiNdGeIr
_cell_length_a 6.6412
_cell_length_b 6.6412
_cell_length_c 6.6412
_cell_angle_alpha 90.00
_cell_angle_beta 90.00
_cell_angle_gamma 90.00
_space_group_name_H-M_alt 'F -4 3 m'
_space_group_IT_number 216
_space_group_name_Hall 'F -4 2 3'
loop_
_atom_site_label
_atom_site_fract_x
_atom_site_fract_y
_atom_site_fract_z
_atom_site_occupancy
Li1 0.0000 0.0000 0.0000 1
Nd1 0.2500 0.2500 0.2500 1
Ge1 0.2500 0.2500 0.7500 1
Ir1 0.0000 0.0000 0.5000 1
```

=====

A plane-wave DFT calculation with PBE-GGA was carried out for an optimized crystal structure of LiNd2Ge4Ir3.

The structure in CIF format:
```
data_LiNd2Ge4Ir3
_cell_length_a 4.3337
_cell_length_b 4.3337
_cell_length_c 10.0283
_cell_angle_alpha 90.00
_cell_angle_beta 90.00
_cell_angle_gamma 90.00
_space_group_name_H-M_alt 'P -4 m 2'
_space_group_IT_number 115
loop_
_space_group_symop_operation_xyz
'x,y,z'
'y,-x,-z'
'-x,-y,z'
'-y,x,-z'
'-x,y,z'
'-y,-x,-z'
'x,-y,z'
'y,x,-z'
loop_
_atom_site_label
_atom_site_fract_x
_atom_site_fract_y
_atom_site_fract_z
_atom_site_occupancy
Li1 0.0000 0.0000 0.0000 1
Nd1 0.0000 0.5000 0.7438 1
Ge1 0.0000 0.0000 0.5000 1
Ge2 0.0000 0.5000 0.1296 1
Ge3 0.5000 0.5000 0.5000 1
Ir1 0.0000 0.5000 0.3744 1
Ir2 0.5000 0.5000 0.0000 1
```

=====

A plane-wave DFT calculation with PBE-GGA was carried out for an optimized crystal structure of LiNiGe2Ir.

The structure in CIF format:
```
data_LiNiGe2Ir
_cell_length_a 4.3167
_cell_length_b 4.3167
_cell_length_c 4.1075
_cell_angle_alpha 90.00
_cell_angle_beta 90.00
_cell_angle_gamma 90.00
_space_group_name_H-M_alt 'P 4/m m m'
_space_group_IT_number 123
_space_group_name_Hall '-P 4 2'
loop_
_atom_site_label
_atom_site_fract_x
_atom_site_fract_y
_atom_site_fract_z
_atom_site_occupancy
Li1 0.0000 0.0000 0.0000 1
Ni1 0.5000 0.5000 0.5000 1
Ge1 0.0000 0.5000 0.0000 1
Ir1 0.0000 0.0000 0.5000 1
```

=====

Number 1: M_tot 0.00 Bohr magnetons per cell, calculated formation energy -0.19 eV per atom. Number 2: M_tot 0.00 Bohr magnetons per cell, calculated formation energy -0.35 eV per atom. Number 3: M_tot 1.31 Bohr magnetons per cell, calculated formation energy 0.57 eV per atom. Number 4: M_tot 0.00 Bohr magnetons per cell, calculated formation energy -0.36 eV per atom. Number 5: M_tot 0.00 Bohr magnetons per cell, calculated formation energy -0.28 eV per atom. Number 6: M_tot 0.00 Bohr magnetons per cell, calculated formation energy -0.36 eV per atom. Number 7: M_tot 0.00 Bohr magnetons per cell, calculated formation energy -0.47 eV per atom. Number 8: M_tot 0.00 Bohr magnetons per cell, calculated formation energy -0.30 eV per atom. Number 9: M_tot 0.84 Bohr magnetons per cell, calculated formation energy -0.07 eV per atom. Number 10: M_tot 0.00 Bohr magnetons per cell, calculated formation energy -0.47 eV per atom. Number 11: M_tot 0.00 Bohr magnetons per cell, calculated formation energy -0.73 eV per atom. Number 12: M_tot 0.43 Bohr magnetons per cell, calculated formation energy 0.83 eV per atom.